[1]
A plane-wave DFT calculation with PBE was carried out for crystalline Ho4FeTe at its relaxed geometry.

a b c (Å): 8.113 3.924 19.212
angles (deg): 90.00 90.00 90.00
Sites, in units of the cell vectors:
Ho: 0.008 0.250 0.067
Ho: 0.046 0.750 0.215
Ho: 0.139 0.750 0.643
Ho: 0.143 0.750 0.455
Ho: 0.357 0.250 0.955
Ho: 0.361 0.250 0.143
Ho: 0.454 0.250 0.715
Ho: 0.492 0.750 0.567
Ho: 0.508 0.250 0.433
Ho: 0.546 0.750 0.285
Ho: 0.639 0.750 0.857
Ho: 0.643 0.750 0.045
Ho: 0.857 0.250 0.545
Ho: 0.861 0.250 0.357
Ho: 0.954 0.250 0.785
Ho: 0.992 0.750 0.933
Fe: 0.246 0.250 0.552
Fe: 0.254 0.750 0.052
Fe: 0.746 0.250 0.948
Fe: 0.754 0.750 0.448
Te: 0.244 0.250 0.311
Te: 0.256 0.750 0.811
Te: 0.744 0.250 0.189
Te: 0.756 0.750 0.689

Space group: No. 62
Uncorrected formation energy in eV per atom: -0.450
Total energy in eV for the cell shown: -130.47
Magnetization in Bohr magnetons per cell: 0.989
Density in g/cm³: 9.2



[2]
A plane-wave DFT calculation with PBE was carried out for crystalline HoCu3Pd at its relaxed geometry.

a b c (Å): 9.459 9.459 9.459
angles (deg): 150.68 150.68 41.95
Sites, in units of the cell vectors:
Ho: 0.171 0.171 0.000
Ho: 0.829 0.829 0.000
Cu: 0.376 0.622 0.754
Cu: 0.378 0.132 0.754
Cu: 0.378 0.624 0.246
Cu: 0.568 0.068 0.500
Cu: 0.868 0.622 0.246
Cu: 0.932 0.432 0.500
Pd: 0.250 0.750 0.500
Pd: 0.500 0.500 0.000

Space group: No. 119
Total energy in eV for the cell shown: -43.33
Magnetization in Bohr magnetons per cell: 0.000
Energy of formation from the pure elements in eV per atom: 0.08
Density in g/cm³: 7.6



Repeat the first record exactly.
A plane-wave DFT calculation with PBE was carried out for crystalline Ho4FeTe at its relaxed geometry.

a b c (Å): 8.113 3.924 19.212
angles (deg): 90.00 90.00 90.00
Sites, in units of the cell vectors:
Ho: 0.008 0.250 0.067
Ho: 0.046 0.750 0.215
Ho: 0.139 0.750 0.643
Ho: 0.143 0.750 0.455
Ho: 0.357 0.250 0.955
Ho: 0.361 0.250 0.143
Ho: 0.454 0.250 0.715
Ho: 0.492 0.750 0.567
Ho: 0.508 0.250 0.433
Ho: 0.546 0.750 0.285
Ho: 0.639 0.750 0.857
Ho: 0.643 0.750 0.045
Ho: 0.857 0.250 0.545
Ho: 0.861 0.250 0.357
Ho: 0.954 0.250 0.785
Ho: 0.992 0.750 0.933
Fe: 0.246 0.250 0.552
Fe: 0.254 0.750 0.052
Fe: 0.746 0.250 0.948
Fe: 0.754 0.750 0.448
Te: 0.244 0.250 0.311
Te: 0.256 0.750 0.811
Te: 0.744 0.250 0.189
Te: 0.756 0.750 0.689

Space group: No. 62
Uncorrected formation energy in eV per atom: -0.450
Total energy in eV for the cell shown: -130.47
Magnetization in Bohr magnetons per cell: 0.989
Density in g/cm³: 9.2